# 1
Computed, not measured: Sm2SI after structural relaxation at the PBE level of DFT.

The total energy is -5.202 eV per atom.

The space group is R-3m (No. 166, hexagonal axes) and the conventional cell measures 4.1535, 4.1535 and 22.2193 Å, with angles of 90.00, 90.00 and 120.00 degrees. The inequivalent atoms are Sm at (0.0000, 0.0000, 0.2270), S at (0.0000, 0.0000, 0.5000) and I at (0.0000, 0.0000, 0.0000).

=====

# 2
Computed, not measured: Ce2TmH after structural relaxation at the PBE level of DFT.

For the relative energy among the computed polymorphs, the calculation gives 0.0 meV/atom.

The space group is R-3m (No. 166, hexagonal axes) and the conventional cell measures 3.4267, 3.4267 and 26.6487 Å, with angles of 90.00, 90.00 and 120.00 degrees. The inequivalent atoms are Ce at (0.0000, 0.0000, 0.2236), Tm at (0.0000, 0.0000, 0.0000) and H at (0.0000, 0.0000, 0.5000).

=====

# 3
Computed, not measured: TiNb6S8 after structural relaxation at the PBE level of DFT.

The total energy is -7.607 eV per atom.

The space group is R-3 (No. 148, hexagonal axes) and the conventional cell measures 9.4140, 9.4140 and 11.4045 Å, with angles of 90.00, 90.00 and 120.00 degrees. The inequivalent atoms are Ti at (0.0000, 0.0000, 0.0000), Nb at (0.0203, 0.8365, 0.3848), S at (0.0000, 0.0000, 0.2165) and S at (0.0106, 0.6306, 0.2424).

=====

# 4
Computed, not measured: NbIn3Pd12 after structural relaxation at the PBE level of DFT.

The total energy is -5.499 eV per atom.

The space group is P4/mmm (No. 123) and the conventional cell measures 4.011, 4.011 and 16.173 Å, with angles of 90.00, 90.00 and 90.00 degrees. The inequivalent atoms are Nb at (0.000, 0.000, 0.000), In at (0.000, 0.000, 0.250), In at (0.000, 0.000, 0.500), Pd at (0.000, 0.500, 0.118), Pd at (0.000, 0.500, 0.374), Pd at (0.500, 0.500, 0.000), Pd at (0.500, 0.500, 0.245) and Pd at (0.500, 0.500, 0.500).

=====

Number 1: ρ 6.9 g/cm3, N(E_F) 8.278 states/eV/cell. Number 2: ρ 8.3 g/cm3, N(E_F) 26.493 states/eV/cell. Number 3: ρ 4.9 g/cm3, N(E_F) 29.763 states/eV/cell. Number 4: ρ 10.9 g/cm3, N(E_F) 10.914 states/eV/cell.